1) This record from Alexandria describes a geometry-optimized Ce4ZnHg structure. The functional is PBE.

Results
As for the density of states at the Fermi level: 2.61 states/eV per atom. For the total magnetization, the calculation gives 1.36 μB per formula unit.

Cell: 5.255 5.952 5.952 Å, 96.80 63.80 63.80°
Each line ends with the local moment (μB).
Element x y z (fractional)
Ce  0.742  0.598  0.918  0.29
Ce  0.742  0.918  0.598  0.29
Ce  0.258  0.402  0.082  0.29
Ce  0.258  0.082  0.402  0.29
Zn  0.000  0.000  0.000  0.00
Hg  0.500  0.500  0.500  0.00

2) This record from Alexandria describes a geometry-optimized Ce4ZnHg structure. The functional is PBE.

Results
As for the density of states at the Fermi level: 2.49 states/eV per atom. For the total magnetization, the calculation gives 0.96 μB per formula unit.

Cell: 3.370 7.471 12.359 Å, 90.00 90.00 103.03°
Each line ends with the local moment (μB).
Element x y z (fractional)
Ce  0.053  0.106  0.241  0.31
Ce  0.947  0.894  0.741  0.31
Ce  0.927  0.854  0.030  0.05
Ce  0.073  0.146  0.530  0.05
Ce  0.709  0.417  0.311  0.40
Ce  0.291  0.583  0.811  0.40
Ce  0.427  0.854  0.470  0.07
Ce  0.573  0.146  0.970  0.07
Zn  0.626  0.253  0.735  0.00
Zn  0.374  0.747  0.235  0.00
Hg  0.762  0.524  0.575  0.00
Hg  0.238  0.476  0.075  0.00

Need the numbers? Relative energies in meV per atom: 1) 0; 2) 45.

1) This record from Alexandria describes a geometry-optimized CeZrHg structure. The functional is PBE.

Results
As for the density of states at the Fermi level: 1.84 states/eV per atom. For the total magnetization, the calculation gives 0.02 μB per formula unit.

Cell: 3.199 3.199 7.494 Å, 102.32 102.32 90.00°
Element x y z (fractional)
Zr  0.326  0.326  0.652
Hg  0.675  0.675  0.349
Ce  0.999  0.999  0.999

2) This record from Alexandria describes a geometry-optimized CeZrHg structure. The functional is PBE.

Results
As for the density of states at the Fermi level: 2.11 states/eV per atom. For the total magnetization, the calculation gives 1.35 μB per formula unit.

Cell: 3.071 5.150 5.150 Å, 120.00 90.00 90.00°
Each line ends with the local moment (μB).
Element x y z (fractional)
Zr  0.164  0.000  0.000  0.23
Hg  0.667  0.667  0.333  0.01
Ce  0.168  0.333  0.667  0.80

Need the numbers? Relative energies in meV per atom: 1) 0; 2) 218.

1) This record from Alexandria describes a geometry-optimized CeHo4 structure. The functional is PBE.

Results
As for the density of states at the Fermi level: 1.87 states/eV per atom. For the total magnetization, the calculation gives 0.62 μB per formula unit.

Cell: 6.920 6.466 9.269 Å, 63.45 68.08 57.65°
Each line ends with the local moment (μB).
Element x y z (fractional)
Ce  0.802  0.000  0.000  0.47
Ce  0.198  0.000  0.000  0.47
Ho  0.798  0.621  0.783  0.02
Ho  0.310  0.599  0.780  0.03
Ho  0.853  0.199  0.603  0.01
Ho  0.345  0.199  0.603  0.01
Ho  0.655  0.801  0.397  0.01
Ho  0.147  0.801  0.397  0.01
Ho  0.690  0.401  0.220  0.03
Ho  0.202  0.379  0.217  0.02

2) This record from Alexandria describes a geometry-optimized CeHo4 structure. The functional is PBE.

Results
As for the density of states at the Fermi level: 2.29 states/eV per atom. For the total magnetization, the calculation gives 0.61 μB per formula unit.

Cell: 5.501 5.501 5.501 Å, 90.00 90.00 90.00°
Each line ends with the local moment (μB).
Element x y z (fractional)
Ho  0.000  0.000  0.000  0.03
Ho  0.500  0.000  0.500  0.06
Ho  0.000  0.500  0.500  0.06
Ho  0.500  0.500  0.000  0.06
Ce  0.500  0.500  0.500  0.30

Need the numbers? Relative energies in meV per atom: 1) 0; 2) 564.

1) This record from Alexandria describes a geometry-optimized CeHo5 structure. The functional is PBE.

Results
As for the density of states at the Fermi level: 1.80 states/eV per atom. For the total magnetization, the calculation gives 0.97 μB per formula unit.

Cell: 3.511 6.104 9.987 Å, 114.25 90.00 106.72°
Each line ends with the local moment (μB).
Element x y z (fractional)
Ce  0.000  0.000  0.000  0.72
Ho  0.666  0.332  0.835  0.03
Ho  0.333  0.666  0.668  0.01
Ho  0.000  0.000  0.500  -0.03
Ho  0.667  0.334  0.332  0.01
Ho  0.334  0.668  0.165  0.03

2) This record from Alexandria describes a geometry-optimized CeHo5 structure. The functional is PBE.

Results
As for the density of states at the Fermi level: 1.83 states/eV per atom. For the total magnetization, the calculation gives 1.08 μB per formula unit.

Cell: 5.012 6.104 7.017 Å, 106.62 90.00 114.24°
Each line ends with the local moment (μB).
Element x y z (fractional)
Ce  0.000  0.000  0.000  0.73
Ho  0.333  0.667  0.164  0.05
Ho  0.000  0.000  0.500  0.03
Ho  0.667  0.333  0.836  0.05
Ho  0.666  0.331  0.331  0.01
Ho  0.334  0.669  0.669  0.01

Need the numbers? Relative energies in meV per atom: 1) 0; 2) 5.

1) This record from Alexandria describes a geometry-optimized CeHo2 structure. The functional is PBE.

Results
As for the density of states at the Fermi level: 2.13 states/eV per atom. For the total magnetization, the calculation gives 0.69 μB per formula unit.

Cell: 3.508 3.508 7.846 Å, 102.92 102.92 90.00°
Each line ends with the local moment (μB).
Element x y z (fractional)
Ho  0.664  0.664  0.328  0.00
Ho  0.336  0.336  0.672  0.00
Ce  0.000  0.000  0.000  0.57

2) This record from Alexandria describes a geometry-optimized CeHo2 structure. The functional is PBE.

Results
As for the density of states at the Fermi level: 3.67 states/eV per atom. For the total magnetization, the calculation gives 3.40 μB per formula unit.

Cell: 6.598 6.598 6.598 Å, 60.00 60.00 60.00°
Each line ends with the local moment (μB).
Element x y z (fractional)
Ho  0.125  0.625  0.625  0.45
Ho  0.625  0.125  0.625  0.45
Ho  0.625  0.625  0.625  0.45
Ho  0.625  0.625  0.125  0.45
Ce  0.000  0.000  0.000  1.32
Ce  0.250  0.250  0.250  1.32

Need the numbers? Relative energies in meV per atom: 1) 0; 2) 318.

1) This record from Alexandria describes a geometry-optimized Ce2Ho structure. The functional is PBE.

Results
As for the density of states at the Fermi level: 3.10 states/eV per atom. For the total magnetization, the calculation gives 2.16 μB per formula unit.

Cell: 6.301 6.301 6.301 Å, 60.00 60.00 60.00°
Each line ends with the local moment (μB).
Element x y z (fractional)
Ho  0.000  0.000  0.000  0.10
Ho  0.250  0.250  0.250  0.10
Ce  0.125  0.625  0.625  0.75
Ce  0.625  0.125  0.625  0.75
Ce  0.625  0.625  0.625  0.75
Ce  0.625  0.625  0.125  0.75

2) This record from Alexandria describes a geometry-optimized Ce2Ho structure. The functional is PBE.

Results
As for the density of states at the Fermi level: 2.35 states/eV per atom. For the total magnetization, the calculation gives 0.00 μB per formula unit.

Cell: 3.423 3.423 7.727 Å, 102.80 102.80 90.00°
Element x y z (fractional)
Ho  0.000  0.000  0.000
Ce  0.673  0.673  0.345
Ce  0.327  0.327  0.655

Need the numbers? Relative energies in meV per atom: 1) 135; 2) 0.

1) This record from Alexandria describes a geometry-optimized CeHo structure. The functional is PBE.

Results
As for the density of states at the Fermi level: 3.64 states/eV per atom. For the total magnetization, the calculation gives 0.87 μB per formula unit.

Cell: 3.971 3.971 3.971 Å, 90.00 90.00 90.00°
Each line ends with the local moment (μB).
Element x y z (fractional)
Ho  0.000  0.000  0.000  0.06
Ce  0.500  0.500  0.500  0.66

2) This record from Alexandria describes a geometry-optimized CeHo structure. The functional is PBE.

Results
As for the density of states at the Fermi level: 2.69 states/eV per atom. For the total magnetization, the calculation gives 0.02 μB per formula unit.

Cell: 3.463 4.928 6.945 Å, 90.00 89.99 90.00°
Element x y z (fractional)
Ho  0.250  0.750  0.629
Ho  0.750  0.250  0.371
Ce  0.250  0.750  0.112
Ce  0.750  0.250  0.888

Need the numbers? Relative energies in meV per atom: 1) 145; 2) 0.

1) This record from Alexandria describes a geometry-optimized CeHoInOs structure. The functional is PBE.

Results
As for the density of states at the Fermi level: 0.88 states/eV per atom. For the total magnetization, the calculation gives 0.19 μB per formula unit.

Cell: 3.349 3.349 8.468 Å, 90.00 90.00 90.00°
Each line ends with the local moment (μB).
Element x y z (fractional)
Ce  0.500  0.500  0.367  0.17
Ho  0.500  0.500  0.778  0.00
In  0.000  0.000  0.065  0.00
Os  0.000  0.000  0.575  -0.02

2) This record from Alexandria describes a geometry-optimized CeHoInOs structure. The functional is PBE.

Results
As for the density of states at the Fermi level: 1.35 states/eV per atom. For the total magnetization, the calculation gives 0.36 μB per formula unit.

Cell: 5.090 5.090 5.090 Å, 60.00 60.00 60.00°
Each line ends with the local moment (μB).
Element x y z (fractional)
Os  0.500  0.500  0.500  -0.02
Ho  0.250  0.250  0.250  0.01
Ce  0.750  0.750  0.750  0.32
In  0.000  0.000  0.000  0.01

Need the numbers? Relative energies in meV per atom: 1) 0; 2) 203.